[1]
Compound: TbMnAgPt
Source: the Alexandria database
Functional: PBE
Structure: relaxed

Unit cell a=4.7900 b=4.7900 c=4.7900 alpha=60.00 beta=60.00 gamma=60.00
Element x y z (fractional)
Tb (0.0000, 0.0000, 0.0000)
Mn (0.5000, 0.5000, 0.5000)
Ag (0.2500, 0.2500, 0.2500)
Pt (0.7500, 0.7500, 0.7500)

Results
VASP energy   -6.059 eV per atom
Space-group type   F-43m, No. 216

---

[2]
Compound: Ti2MnAgPt
Source: the Alexandria database
Functional: PBE
Structure: relaxed

Unit cell a=4.7288 b=4.7288 c=4.8611 alpha=90.00 beta=90.00 gamma=90.00
Element x y z (fractional)
Ti (0.0000, 0.5000, 0.0000)
Ti (0.5000, 0.0000, 0.0000)
Mn (0.0000, 0.0000, 0.5000)
Ag (0.5000, 0.5000, 0.0000)
Pt (0.5000, 0.5000, 0.5000)

Results
VASP energy   -5.152 eV per atom
Space-group type   P4/mmm, No. 123

---

[3]
Compound: TmMnAgPt
Source: the Alexandria database
Functional: PBE
Structure: relaxed

Unit cell a=4.7329 b=4.7329 c=4.7329 alpha=60.00 beta=60.00 gamma=60.00
Element x y z (fractional)
Tm (0.0000, 0.0000, 0.0000)
Mn (0.5000, 0.5000, 0.5000)
Ag (0.7500, 0.7500, 0.7500)
Pt (0.2500, 0.2500, 0.2500)

Results
VASP energy   -6.068 eV per atom
Space-group type   F-43m, No. 216

---

DFT formation energy list, top to bottom, in eV per atom: -0.39; 1.62; -0.43